# Th2BiPRh6 (PBE-GGA, optimized geometry)
# ΔE_f: -6.76 eV per formula unit
# Final energy: -7.500 eV per atom
data_Th2BiPRh6
_symmetry_space_group_name_H-M 'P m m n'
_symmetry_Int_Tables_number 59
_cell_length_a 5.637
_cell_length_b 8.672
_cell_length_c 8.288
_cell_angle_alpha 90.00
_cell_angle_beta 90.00
_cell_angle_gamma 90.00
loop_
_symmetry_equiv_pos_as_xyz
'x,y,z'
'-x,-y,-z'
'-x+1/2,-y+1/2,z'
'x+1/2,y+1/2,-z'
'x+1/2,-y,-z'
'-x+1/2,y,z'
'-x,y+1/2,-z'
'x,-y+1/2,z'
loop_
_atom_site_label
_atom_site_type_symbol
_atom_site_fract_x
_atom_site_fract_y
_atom_site_fract_z
Th1 Th 0.250 0.018 0.247
Bi1 Bi 0.250 0.250 0.704
P1 P 0.250 0.750 0.784
Rh1 Rh 0.001 0.250 0.991
Rh2 Rh 0.002 0.750 0.567
Rh3 Rh 0.250 0.504 0.899